Material: CaSiAs2Br
Method: DFT, PBE
State: relaxed

a = 4.762 Å, b = 4.762 Å, c = 5.544 Å
α = 90.00°, β = 90.00°, γ = 90.00°
Space group P4/mmm (No. 123)
Asymmetric unit:
Ca: 0.000 0.000 0.000 x1
Si: 0.500 0.500 0.500 x1
As: 0.000 0.500 0.500 x2
Br: 0.500 0.500 0.000 x1

Output
DOS(E_F)   2.691 states/eV/f.u.
Distance to the lowest polymorph of the same formula   0 meV per atom
Electronic total energy   -3.88 eV per atom
Energy relative to the elements, uncorrected   -96.4 kJ/mol of formula units
Crystal system   tetragonal
Mass density   3.9 Mg/m³

Material: Ba2PuSi3Au12
Method: DFT, PBE
State: relaxed

a = 8.9098 Å, b = 8.9098 Å, c = 20.5897 Å
α = 90.00°, β = 90.00°, γ = 120.00°
Space group R-3m (No. 166, hexagonal axes)
Asymmetric unit:
Ba: 0.0000 0.0000 0.1028 x6
Pu: 0.0000 0.0000 0.5000 x3
Si: 0.0000 0.5000 0.0000 x9
Au: 0.0232 0.5116 0.8801 x18
Au: 0.0372 0.5186 0.3341 x18

Output
DOS(E_F)   20.994 states/eV/f.u.
Electronic total energy   -4.24 eV per atom
Energy relative to the elements, uncorrected   -251.6 kJ/mol of formula units
Crystal system   trigonal
Mass density   10.4 Mg/m³

Material: SmSbS
Method: DFT, PBE
State: relaxed

a = 4.120 Å, b = 4.120 Å, c = 17.755 Å
α = 90.00°, β = 90.00°, γ = 90.00°
Space group I4/mmm (No. 139)
Asymmetric unit:
Sm: 0.000 0.000 0.155 x4
Sb: 0.000 0.500 0.000 x4
S: 0.000 0.000 0.313 x4

Output
DOS(E_F)   0.757 states/eV/f.u.
Electronic total energy   -5.74 eV per atom
Energy relative to the elements, uncorrected   -409.6 kJ/mol of formula units
Crystal system   tetragonal
Mass density   6.7 Mg/m³

Material: Ce3IrPb
Method: DFT, PBE
State: relaxed

a = 16.136 Å, b = 9.312 Å, c = 6.993 Å
α = 90.00°, β = 94.43°, γ = 90.00°
Space group C2/c (No. 15)
Asymmetric unit:
Ce: 0.101 0.088 0.384 x8
Ce: 0.164 0.351 0.580 x8
Ce: 0.165 0.291 0.059 x8
Ir: 0.230 0.021 0.665 x8
Pb: 0.000 0.202 0.750 x4
Pb: 0.000 0.433 0.250 x4

Output
DOS(E_F)   12.410 states/eV/f.u.
Distance to the lowest polymorph of the same formula   18 meV per atom
Energy relative to the elements   -37.84 kJ per mole of atoms
Electronic total energy   -6.47 eV per atom
Crystal system   monoclinic
Mass density   10.4 Mg/m³

Material: La2TbTh
Method: DFT, PBE
State: relaxed

a = 3.630 Å, b = 3.630 Å, c = 10.407 Å
α = 90.00°, β = 90.00°, γ = 90.00°
Space group P4/mmm (No. 123)
Asymmetric unit:
La: 0.000 0.000 0.240 x2
Tb: 0.500 0.500 0.500 x1
Th: 0.500 0.500 0.000 x1

Output
DOS(E_F)   7.394 states/eV/f.u.
Distance to the lowest polymorph of the same formula   23 meV per atom
Energy relative to the elements   4.49 kJ per mole of atoms
Electronic total energy   -5.43 eV per atom
Crystal system   tetragonal
Mass density   8.1 Mg/m³

Material: TmAg5Au6
Method: DFT, PBE
State: relaxed

a = 4.308 Å, b = 12.763 Å, c = 8.115 Å
α = 90.00°, β = 90.00°, γ = 90.00°
Space group Cmmm (No. 65)
Asymmetric unit:
Tm: 0.000 0.000 0.000 x2
Ag: 0.000 0.000 0.500 x2
Ag: 0.000 0.328 0.000 x4
Ag: 0.000 0.336 0.500 x4
Au: 0.000 0.167 0.255 x8
Au: 0.000 0.500 0.247 x4

Output
DOS(E_F)   3.827 states/eV/f.u.
Energy relative to the elements   -20.86 kJ per mole of atoms
Electronic total energy   -3.42 eV per atom
Crystal system   orthorhombic
Mass density   14.1 Mg/m³

Material: BeSnRu
Method: DFT, PBE
State: relaxed

a = 4.551 Å, b = 4.184 Å, c = 5.395 Å
α = 90.00°, β = 114.13°, γ = 90.00°
Space group P2_1/m (No. 11)
Asymmetric unit:
Be: 0.184 0.250 0.361 x2
Sn: 0.339 0.750 0.102 x2
Ru: 0.272 0.750 0.570 x2

Output
DOS(E_F)   1.059 states/eV/f.u.
Energy relative to the elements   -4.85 kJ per mole of atoms
Electronic total energy   -5.72 eV per atom
Crystal system   monoclinic
Mass density   8.1 Mg/m³

Material: PmFeGe2Ru
Method: DFT, PBE
State: relaxed

a = 4.131 Å, b = 4.131 Å, c = 10.352 Å
α = 90.00°, β = 90.00°, γ = 90.00°
Space group I-4m2 (No. 119)
Asymmetric unit:
Pm: 0.000 0.000 0.000 x2
Fe: 0.000 0.500 0.750 x2
Ge: 0.000 0.000 0.372 x4
Ru: 0.000 0.500 0.250 x2

Output
DOS(E_F)   5.429 states/eV/f.u.
Energy relative to the elements   -51.81 kJ per mole of atoms
Electronic total energy   -6.88 eV per atom
Crystal system   tetragonal
Mass density   8.4 Mg/m³